# 1
Dy4ThSc (PBE, relaxed); ΔE_f = 0.03 eV/atom; space group = C2/m (12); offset from the most stable computed form = 0.00 kcal/mol of atoms
1.0
9.1052 -1.7624 0.0000
9.1052 1.7624 0.0000
-1.9318 0.0000 5.6678
Dy Th Sc
4 1 1
Cartesian
1.9983 0.0000 2.8305
4.1764 0.0000 5.6249
12.1021 0.0000 0.0429
14.2802 0.0000 2.8373
0.0000 0.0000 0.0000
8.1393 0.0000 2.8339

---

# 2
DyTh4Sc (PBE, relaxed); ΔE_f = 0.04 eV/atom; space group = C2/m (12)
1.0
5.8317 -1.7769 0.0000
5.8317 1.7769 0.0000
-4.1262 0.0000 8.9005
Dy Th Sc
1 4 1
Cartesian
0.0000 0.0000 0.0000
3.1724 0.0000 1.5352
1.1732 0.0000 5.8861
6.3641 0.0000 3.0144
4.3649 0.0000 7.3653
-2.0631 0.0000 4.4503

---

# 3
DyTh2Sc3 (PBE, relaxed); ΔE_f = 0.03 eV/atom; space group = P4/mmm (123); offset from the most stable computed form = 0.00 kcal/mol of atoms
1.0
3.4846 0.0000 0.0000
0.0000 3.4846 0.0000
0.0000 0.0000 13.9662
Dy Th Sc
1 2 3
Cartesian
0.0000 0.0000 0.0000
0.0000 0.0000 4.6549
0.0000 0.0000 9.3113
1.7423 1.7423 2.3704
1.7423 1.7423 6.9831
1.7423 1.7423 11.5959

---

# 4
DyTh4Sc8 (PBE, relaxed); ΔE_f = 0.23 eV/atom; space group = C2/m (12)
1.0
6.1579 -3.5579 0.0000
6.1579 3.5579 0.0000
-4.0994 0.0000 8.2286
Dy Th Sc
1 4 8
Cartesian
0.0000 0.0000 0.0000
-2.0497 0.0000 4.1143
1.0293 1.7789 4.1143
1.0293 -1.7789 4.1143
4.1082 0.0000 4.1143
2.3747 0.0000 1.5027
4.9732 1.4988 1.5002
0.0039 0.0000 6.9442
3.2433 1.4988 6.7285
4.9732 -1.4988 1.5002
8.2126 0.0000 1.2844
3.2433 -1.4988 6.7285
5.8418 0.0000 6.7259

---

# 5
Dy6Th2Sc (PBE, relaxed); ΔE_f = 0.08 eV/atom; space group = P-6m2 (187); offset from the most stable computed form = 0.00 kcal/mol of atoms
1.0
3.5294 0.0000 0.0000
-1.7647 3.0565 0.0000
0.0000 0.0000 26.0069
Dy Th Sc
6 2 1
Cartesian
0.0000 0.0000 1.6664
0.0000 0.0000 7.4614
0.0000 0.0000 18.5455
0.0000 0.0000 24.3405
0.0000 2.0377 10.3414
0.0000 2.0377 15.6655
0.0000 2.0377 4.5098
0.0000 2.0377 21.4971
0.0000 0.0000 13.0035

---

# 6
Dy4Th2Sc3 (PBE, relaxed); ΔE_f = 0.08 eV/atom; space group = P3m1 (156); offset from the most stable computed form = 0.82 kcal/mol of atoms
1.0
3.4679 0.0000 0.0000
-1.7340 3.0033 0.0000
0.0000 0.0000 25.6110
Dy Th Sc
4 2 3
Cartesian
0.0000 0.0000 0.0000
0.0000 0.0000 5.3240
0.0000 2.0022 8.2618
0.0000 2.0022 13.6326
0.0000 0.0000 16.6192
0.0000 0.0000 22.1940
0.0000 0.0000 10.9362
0.0000 2.0022 2.6419
0.0000 2.0022 19.4059

---

# 7
Dy2Th5Sc (PBE, relaxed); ΔE_f = 0.06 eV/atom; space group = Fmmm (69)
1.0
0.0000 4.9774 5.0268
4.9698 0.0000 5.0268
4.9698 4.9774 0.0000
Dy Th Sc
2 5 1
Cartesian
2.4849 2.4887 0.0000
2.4849 2.4887 5.0268
0.0000 0.0000 0.0000
2.4849 0.0000 2.5134
4.9698 2.4887 2.5134
0.0000 2.4887 2.5134
2.4849 4.9774 2.5134
4.9698 4.9774 5.0268

---

# 8
DyTh6Sc2 (PBE, relaxed); ΔE_f = 0.13 eV/atom; space group = P6/mmm (191); offset from the most stable computed form = 0.81 kcal/mol of atoms
1.0
5.5878 0.0000 0.0000
-2.7939 4.8392 0.0000
0.0000 0.0000 10.3808
Dy Th Sc
1 6 2
Cartesian
0.0000 0.0000 0.0000
0.0000 0.0000 3.5897
0.0000 0.0000 6.7912
0.0000 3.2261 1.7469
0.0000 3.2261 8.6339
2.7939 1.6131 1.7469
2.7939 1.6131 8.6339
0.0000 3.2261 5.1904
2.7939 1.6131 5.1904

---

# 9
DyTh2Sc8 (PBE, relaxed); ΔE_f = 0.19 eV/atom; space group = C2/m (12)
1.0
4.2755 -7.6289 0.0000
4.2755 7.6289 0.0000
-3.2360 0.0000 4.5740
Dy Th Sc
1 2 8
Cartesian
0.0000 0.0000 0.0000
2.6575 2.9636 2.2870
2.6575 -2.9636 2.2870
-0.3534 1.7957 3.1498
4.2755 4.4625 0.0000
-0.3534 -1.7957 3.1498
3.0660 0.0000 0.9522
2.2491 0.0000 3.6218
5.6685 1.7957 1.4242
4.2755 -4.4625 0.0000
5.6685 -1.7957 1.4242

---

# 10
Dy2Th6Sc5 (PBE, relaxed); ΔE_f = 0.14 eV/atom; space group = Pbam (55)
1.0
11.4971 0.0000 0.0000
0.0000 19.4729 0.0000
0.0000 0.0000 3.4454
Dy Th Sc
4 12 10
Cartesian
1.8150 4.2738 0.0000
3.9336 14.0103 0.0000
7.5635 5.4626 0.0000
9.6822 15.1991 0.0000
0.6725 17.9601 0.0000
0.8101 12.3574 0.0000
2.2229 7.4703 1.7227
3.5257 17.2068 1.7227
4.9385 2.6210 0.0000
5.0761 8.2237 0.0000
6.4210 11.2492 0.0000
6.5587 16.8519 0.0000
7.9714 2.2661 1.7227
9.2743 12.0025 1.7227
10.6870 7.1155 0.0000
10.8247 1.5128 0.0000
0.0000 9.7364 1.7227
1.1296 15.0965 1.7227
2.3361 1.1019 1.7227
3.4125 10.8383 1.7227
4.6189 5.3601 1.7227
5.7486 0.0000 1.7227
6.8782 14.1128 1.7227
8.0846 8.6346 1.7227
9.1611 18.3710 1.7227
10.3675 4.3764 1.7227

---

# 11
Dy2ThSc (PBE, relaxed); ΔE_f = 0.03 eV/atom; space group = R3m (160); offset from the most stable computed form = 0.00 kcal/mol of atoms
1.0
1.7620 1.0173 11.1477
-1.7620 1.0173 11.1477
0.0000 -2.0346 11.1477
Dy Th Sc
2 1 1
Cartesian
0.0000 0.0000 0.0000
0.0000 0.0000 5.4369
0.0000 0.0000 19.4251
0.0000 0.0000 13.8862

---

# 12
Dy3Th2Sc4 (PBE, relaxed); ΔE_f = 0.14 eV/atom; space group = Pnnm (58); offset from the most stable computed form = 0.54 kcal/mol of atoms
1.0
6.6151 0.0000 0.0000
0.0000 14.7815 0.0000
0.0000 0.0000 5.4012
Dy Th Sc
6 4 8
Cartesian
0.0000 0.0000 0.0000
0.7154 4.9077 2.7006
2.5922 12.2985 0.0000
3.3076 7.3908 2.7006
4.0230 2.4830 0.0000
5.8998 9.8738 2.7006
1.0226 8.7605 0.0000
2.2850 1.3697 2.7006
4.3301 13.4118 2.7006
5.5926 6.0210 0.0000
0.6555 3.0720 0.0000
0.8726 13.0137 2.7006
2.4350 5.6229 0.0000
2.6520 10.4627 2.7006
3.9631 4.3188 2.7006
4.1802 9.1586 0.0000
5.7425 1.7679 2.7006
5.9596 11.7095 0.0000

---

# 13
Dy5ThSc2 (PBE, relaxed); ΔE_f = 0.04 eV/atom; space group = Pbam (55)
1.0
6.9663 0.0000 0.0000
0.0000 13.9467 0.0000
0.0000 0.0000 4.8946
Dy Th Sc
10 2 4
Cartesian
0.0000 0.0000 0.0000
0.0665 3.4906 0.0000
1.7265 12.2039 2.4473
1.7567 5.2305 2.4473
3.4166 10.4640 0.0000
3.4831 6.9734 0.0000
3.5496 3.4827 0.0000
5.2096 8.7162 2.4473
5.2398 1.7428 2.4473
6.8998 10.4561 0.0000
0.0000 6.9734 0.0000
3.4831 0.0000 0.0000
1.6580 8.6820 2.4473
1.8251 1.7086 2.4473
5.1412 12.2381 2.4473
5.3082 5.2647 2.4473

---

# 14
Dy2ThSc6 (PBE, relaxed); ΔE_f = 0.09 eV/atom; space group = P-6m2 (187)
1.0
3.3911 0.0000 0.0000
-1.6956 2.9368 0.0000
0.0000 0.0000 24.5249
Dy Th Sc
2 1 6
Cartesian
0.0000 0.0000 4.2041
0.0000 0.0000 20.3208
1.6956 0.9789 12.2625
0.0000 0.0000 9.4662
0.0000 0.0000 15.0587
1.6956 0.9789 1.5037
1.6956 0.9789 6.9438
1.6956 0.9789 17.5811
1.6956 0.9789 23.0212

---

# 15
Dy4Th2Sc3 (PBE, relaxed); ΔE_f = 0.05 eV/atom; space group = P-1 (2); offset from the most stable computed form = 0.00 kcal/mol of atoms
1.0
6.0652 0.0000 0.0000
0.0323 8.9534 0.0000
2.9927 3.4015 9.8034
Dy Th Sc
8 4 6
Cartesian
0.5407 4.3424 1.6200
2.5663 5.3403 5.9641
2.5450 8.7500 1.6500
5.5628 9.4378 9.2421
3.5274 2.9171 0.5613
6.5452 3.6048 8.1534
6.5240 7.0145 3.8392
8.5495 8.0125 8.1834
3.4675 11.1229 7.0888
3.5887 8.5364 4.9709
5.5015 3.8184 4.8325
5.6227 1.2320 2.7146
3.4964 4.9154 9.2520
2.4439 2.6224 3.8179
3.5694 5.6732 2.6966
5.5208 6.6817 7.1068
6.6463 9.7324 5.9855
5.5938 7.4395 0.5513

---

# 16
DyTh4Sc4 (PBE, relaxed); ΔE_f = 0.05 eV/atom; space group = I4/mmm (139)
1.0
-5.1789 5.1789 2.4136
5.1789 -5.1789 2.4136
5.1789 5.1789 -2.4136
Dy Th Sc
1 4 4
Cartesian
0.0000 0.0000 0.0000
3.4315 3.4315 0.0000
1.7474 -1.7474 2.4136
-1.7474 1.7474 2.4136
1.7474 1.7474 2.4136
3.5084 0.0000 0.0000
6.8494 0.0000 0.0000
0.0000 3.5084 0.0000
0.0000 6.8494 0.0000

---

# 17
Dy12Th5Sc (PBE, relaxed); ΔE_f = 0.03 eV/atom; space group = Cmmm (65)
1.0
7.4929 -7.5002 0.0000
7.4929 7.5002 0.0000
0.0000 0.0000 5.0298
Dy Th Sc
12 5 1
Cartesian
5.0619 4.9790 2.5149
2.4195 0.0000 0.0000
5.0699 2.4568 0.0000
9.9238 4.9790 2.5149
5.0180 0.0000 2.5149
9.9158 2.4568 0.0000
5.0699 -2.4568 0.0000
9.9678 0.0000 2.5149
5.0619 -4.9790 2.5149
9.9158 -2.4568 0.0000
12.5662 0.0000 0.0000
9.9238 -4.9790 2.5149
0.0000 0.0000 2.5149
7.4929 4.9590 0.0000
7.4929 2.4409 2.5149
7.4929 -2.4409 2.5149
7.4929 -4.9590 0.0000
7.4929 0.0000 0.0000

---

# 18
Dy2ThSc (PBE, relaxed); ΔE_f = 0.04 eV/atom; space group = C2/m (12); offset from the most stable computed form = 0.22 kcal/mol of atoms
1.0
5.8362 -1.7520 0.0000
5.8362 1.7520 0.0000
-1.1123 0.0000 5.8248
Dy Th Sc
2 1 1
Cartesian
2.6111 0.0000 1.4697
7.9490 0.0000 4.3551
-0.5561 0.0000 2.9124
5.8362 0.0000 0.0000

---

# 19
DyTh4Sc6 (PBE, relaxed); ΔE_f = 0.47 eV/atom; space group = P-6m2 (187)
1.0
8.6241 0.0000 0.0000
-4.3120 7.4687 0.0000
0.0000 0.0000 5.0968
Dy Th Sc
1 4 6
Cartesian
0.0000 0.0000 0.0000
0.0000 4.9791 0.0000
2.5348 1.4635 2.5484
6.0892 1.4635 2.5484
4.3120 4.5417 2.5484
0.0000 3.1709 2.5484
-1.5660 5.8832 2.5484
4.3120 0.5766 0.0000
2.6554 3.4460 0.0000
1.5660 5.8832 2.5484
5.9687 3.4460 0.0000

---

# 20
Dy5ThSc3 (PBE, relaxed); ΔE_f = 0.49 eV/atom; space group = C2/m (12)
1.0
7.3137 -5.6364 0.0000
7.3137 5.6364 0.0000
-6.2091 0.0000 7.3099
Dy Th Sc
10 2 6
Cartesian
3.8539 2.8431 1.8390
1.9222 0.0000 1.7342
7.3137 2.8752 0.0000
-0.0466 0.0000 4.3217
4.5644 2.8431 5.4709
3.8539 -2.8431 1.8390
8.4649 0.0000 2.9882
7.3137 -2.8752 0.0000
6.4962 0.0000 5.5757
4.5644 -2.8431 5.4709
-1.8613 0.0000 6.9615
10.2796 0.0000 0.3483
-3.1045 0.0000 3.6549
-5.0163 0.0000 6.0355
3.1016 0.0000 4.7272
7.3137 0.0000 0.0000
5.3167 0.0000 2.5826
13.4347 0.0000 1.2743